VASP calculation (GGA-PBE) on an optimized crystal structure of Y2Hf4Ge3N3.

Raw total energy   -211.15 eV/cell

Lattice parameters (Å, degrees): 5.756 5.756 14.149 102.09 102.09 59.95
Atoms (fractional coordinates):
Y 0.037 0.876 0.608
Y 0.124 0.963 0.892
Y 0.876 0.037 0.108
Y 0.963 0.124 0.392
Hf 0.196 0.356 0.086
Hf 0.297 0.478 0.414
Hf 0.356 0.196 0.586
Hf 0.478 0.297 0.914
Hf 0.522 0.703 0.086
Hf 0.644 0.804 0.414
Hf 0.703 0.522 0.586
Hf 0.804 0.644 0.914
Ge 0.085 0.336 0.752
Ge 0.336 0.085 0.252
Ge 0.497 0.503 0.250
Ge 0.503 0.497 0.750
Ge 0.664 0.915 0.748
Ge 0.915 0.664 0.248
N 0.000 0.500 0.500
N 0.172 0.655 0.000
N 0.345 0.828 0.500
N 0.500 0.000 0.000
N 0.655 0.172 0.500
N 0.828 0.345 0.000

VASP calculation (GGA-PBE) on an optimized crystal structure of Hf4ZnGeN2.

Raw total energy   -70.80 eV/cell

Lattice parameters (Å, degrees): 3.229 3.229 13.660 90.00 90.00 120.00
Atoms (fractional coordinates):
Hf 0.000 0.000 0.156
Hf 0.000 0.000 0.844
Hf 0.667 0.333 0.338
Hf 0.667 0.333 0.662
Zn 0.000 0.000 0.500
Ge 0.667 0.333 0.000
N 0.333 0.667 0.249
N 0.333 0.667 0.751

VASP calculation (GGA-PBE) on an optimized crystal structure of NaHf3Ge5.

Raw total energy   -55.07 eV/cell

Lattice parameters (Å, degrees): 5.848 5.848 6.845 90.00 90.00 120.00
Atoms (fractional coordinates):
Na 0.000 0.000 0.000
Hf 0.000 0.500 0.500
Hf 0.500 0.000 0.500
Hf 0.500 0.500 0.500
Ge 0.000 0.000 0.500
Ge 0.333 0.667 0.176
Ge 0.333 0.667 0.824
Ge 0.667 0.333 0.176
Ge 0.667 0.333 0.824

- The highest raw total energy belongs to which entry?
  NaHf3Ge5

- Look up the raw total energy of the second one.
  -70.80 eV/cell